The following is a GGA+U calculation of crystalline TlCuWO5 at its relaxed geometry, from the Alexandria database.

For the density of states at the Fermi level, the calculation gives 10.65 states/eV/cell. The calculation puts the electronic total energy at -6.02 eV/atom.

The structure belongs to space group C2/c (No. 15); the cell edges are 6.596, 9.540 and 7.598 Å and the angles 90.00°, 111.32° and 90.00°. The distinct sites, in fractional coordinates, are Tl at (0.000, 0.172, 0.250), Cu at (0.000, 0.175, 0.750), W at (0.000, 0.500, 0.000), O at (0.000, 0.448, 0.250), O at (0.053, 0.304, 0.575) and O at (0.188, 0.033, 0.914).